1.
Below is crystalline CrW at its relaxed geometry, with properties calculated at the PBE level.

POSCAR file:
```
CrW
1.0
-0.973 0.176 2.729
2.366 -1.571 -0.599
4.556 6.397 1.210
W Cr
2 2
Cartesian
2.278 3.198 0.605 W
0.000 0.000 0.000 W
2.392 0.610 0.813 Cr
3.557 4.391 2.527 Cr
```

Values from the calculation:
- symmetry = P6_3/mmc (194)
- energy relative to the elements (eV/atom) = 0.493

---

2.
Below is crystalline Ba2TaAu at its relaxed geometry, with properties calculated at the PBE level.

POSCAR file:
```
Ba2TaAu
1.0
3.628 0.018 0.000
-0.018 3.628 0.000
0.000 0.000 10.034
Ba Au Ta
2 1 1
Cartesian
0.000 0.000 9.271 Ba
1.805 1.823 3.214 Ba
1.805 1.823 6.860 Au
0.000 0.000 5.739 Ta
```

Values from the calculation:
- symmetry = P4mm (99)
- energy relative to the elements (eV/atom) = 0.343
- distance to the lowest polymorph of the same formula (eV per atom) = 0.133

---

3.
Below is crystalline LiCe3U3S8 at its relaxed geometry, with properties calculated at the PBE level.

POSCAR file:
```
LiCe3U3S8
1.0
-3.119 -1.828 -6.930
3.048 -5.600 4.517
-6.767 3.477 2.129
Li Ce S U
1 3 8 3
Cartesian
-3.384 1.739 1.064 Li
-0.035 -3.714 -1.206 Ce
0.000 0.000 0.000 Ce
1.524 -2.800 2.259 Ce
-4.115 -0.510 -4.638 S
-4.255 -0.623 2.081 S
-2.583 -3.328 -2.365 S
-5.832 -1.554 -1.371 S
-2.723 -3.441 4.354 S
-2.547 0.410 -1.152 S
-1.006 -2.396 1.087 S
-4.291 -4.360 0.868 S
-4.943 0.825 -2.400 U
-3.419 -1.975 -0.142 U
-1.860 -1.061 3.323 U
```

Values from the calculation:
- symmetry = R-3m (166)
- ΔE_f (raw) (eV/atom) = -1.64

---

no.,DFT total energy (eV/atom)
1,-10.796
2,-4.401
3,-7.416